[1]
# SrCuMo2O8, optimized geometry, DFT PBE+U
# M_tot (μB/f.u.): 1.09
# Density (g/cm³): 4.203
# E_tot (eV/cell): -78.18
data_SrCuMo2O8
_space_group_name_H-M_alt 'P 1'
_space_group_IT_number 1
_cell_length_a 6.237
_cell_length_b 6.237
_cell_length_c 6.237
_cell_angle_alpha 107.54
_cell_angle_beta 107.54
_cell_angle_gamma 113.42
loop_
_space_group_symop_operation_xyz
'x,y,z'
loop_
_atom_site_label
_atom_site_type_symbol
_atom_site_fract_x
_atom_site_fract_y
_atom_site_fract_z
Sr1 Sr 0.000 0.000 0.000
Cu1 Cu 0.250 0.750 0.500
Mo1 Mo 0.750 0.250 0.500
Mo2 Mo 0.500 0.500 0.000
O1 O 0.398 0.087 0.312
O2 O 0.342 0.540 0.197
O3 O 0.342 0.145 0.803
O4 O 0.775 0.087 0.688
O5 O 0.855 0.658 0.197
O6 O 0.913 0.225 0.312
O7 O 0.913 0.602 0.688
O8 O 0.460 0.658 0.803

[2]
# Li8NiO4F2, optimized geometry, DFT PBE+U
# M_tot (μB/f.u.): 2.00
# Excess energy over the best structure of this formula in the dataset (meV/atom): 0
# Density (g/cm³): 2.646
data_Li8NiO4F2
_space_group_name_H-M_alt 'P 1'
_space_group_IT_number 1
_cell_length_a 5.453
_cell_length_b 5.496
_cell_length_c 10.747
_cell_angle_alpha 76.80
_cell_angle_beta 75.18
_cell_angle_gamma 61.45
loop_
_space_group_symop_operation_xyz
'x,y,z'
loop_
_atom_site_label
_atom_site_type_symbol
_atom_site_fract_x
_atom_site_fract_y
_atom_site_fract_z
Li1 Li 0.115 0.771 0.679
Li2 Li 0.204 0.593 0.313
Li3 Li 0.066 0.404 0.817
Li4 Li 0.167 0.253 0.478
Li5 Li 0.278 0.421 0.004
Li6 Li 0.284 0.958 0.163
Li7 Li 0.427 0.084 0.662
Li8 Li 0.588 0.315 0.179
Li9 Li 0.412 0.685 0.821
Li10 Li 0.573 0.916 0.338
Li11 Li 0.716 0.042 0.837
Li12 Li 0.722 0.579 0.996
Li13 Li 0.833 0.747 0.522
Li14 Li 0.796 0.407 0.687
Li15 Li 0.934 0.596 0.183
Li16 Li 0.885 0.229 0.321
Ni1 Ni 0.000 0.000 0.000
Ni2 Ni 0.500 0.500 0.500
O1 O 0.032 0.717 0.883
O2 O 0.274 0.655 0.118
O3 O 0.141 0.452 0.620
O4 O 0.516 0.259 0.375
O5 O 0.484 0.741 0.625
O6 O 0.859 0.548 0.380
O7 O 0.726 0.345 0.882
O8 O 0.968 0.283 0.117
F1 F 0.368 0.037 0.858
F2 F 0.215 0.899 0.367
F3 F 0.785 0.101 0.633
F4 F 0.632 0.963 0.142